Record 1
Computed, not measured: a relaxed LiTaW crystal at the PBE level of DFT.

Calculated values
Offset from the most stable computed form, meV per atom: 0
E, eV per atom: -7.718

Cell: 4.079 4.079 4.079 Å, 60.00 60.00 60.00°
Fractional coordinates of all 3 atoms:
Li  0.000  0.000  0.000
Ta  0.250  0.250  0.250
W  0.750  0.750  0.750

---

Record 2
Computed, not measured: a relaxed Zn2GeO4 crystal at the PBE level of DFT.

Calculated values
Offset from the most stable computed form, meV per atom: 79
E, eV per atom: -5.337

Cell: 5.925 5.925 5.925 Å, 120.00 90.00 120.00°
Fractional coordinates of all 14 atoms:
O  0.626  0.747  0.374
O  0.124  0.753  0.876
O  0.629  0.753  0.876
O  0.124  0.247  0.876
O  0.121  0.747  0.374
O  0.626  0.253  0.374
O  0.626  0.253  0.879
O  0.124  0.247  0.371
Ge  0.000  0.000  0.000
Ge  0.750  0.500  0.250
Zn  0.375  0.750  0.125
Zn  0.375  0.750  0.625
Zn  0.375  0.250  0.625
Zn  0.875  0.250  0.625

---

Record 3
Computed, not measured: a relaxed BaSrAu crystal at the PBE level of DFT.

Calculated values
Offset from the most stable computed form, meV per atom: 0
E, eV per atom: -2.768

Cell: 5.541 5.541 5.541 Å, 60.00 60.00 60.00°
Fractional coordinates of all 3 atoms:
Au  0.000  0.000  0.000
Sr  0.750  0.750  0.750
Ba  0.250  0.250  0.250

---

Record 4
Computed, not measured: a relaxed Hf2CdSn2 crystal at the PBE level of DFT.

Calculated values
Offset from the most stable computed form, meV per atom: 0
E, eV per atom: -5.575

Cell: 4.123 4.123 7.810 Å, 105.31 105.31 90.00°
Fractional coordinates of all 5 atoms:
Sn  0.750  0.250  0.500
Sn  0.250  0.750  0.500
Hf  0.599  0.599  0.197
Hf  0.401  0.401  0.803
Cd  0.000  0.000  0.000

---

Record 5
Computed, not measured: a relaxed Na2Te2Au crystal at the PBE level of DFT.

Calculated values
E, eV per atom: -3.004

Cell: 4.214 5.860 6.417 Å, 73.07 90.00 111.08°
Fractional coordinates of all 5 atoms:
Te  0.139  0.278  0.734
Te  0.861  0.722  0.266
Na  0.150  0.301  0.234
Na  0.850  0.699  0.766
Au  0.500  0.000  0.000

---

Record 6
Computed, not measured: a relaxed NaTaF6 crystal at the PBE level of DFT.

Calculated values
E, eV per atom: -6.126

Cell: 5.294 5.294 5.294 Å, 54.30 54.30 54.30°
Fractional coordinates of all 8 atoms:
F  0.775  0.421  0.044
F  0.956  0.225  0.579
F  0.225  0.579  0.956
F  0.421  0.044  0.775
F  0.579  0.956  0.225
F  0.044  0.775  0.421
Na  0.500  0.500  0.500
Ta  0.000  0.000  0.000

---

Record 7
Computed, not measured: a relaxed Y2ErCd3CuAu2 crystal at the PBE level of DFT.

Calculated values
E, eV per atom: -3.962
Formation energy from the elements, eV/atom: -0.581

Cell: 3.833 7.756 7.756 Å, 119.78 90.00 90.00°
Fractional coordinates of all 9 atoms:
Y  0.000  0.597  0.000
Y  0.000  0.000  0.597
Cd  0.500  0.751  0.751
Cd  0.500  0.249  0.000
Cd  0.500  0.000  0.249
Au  0.500  0.664  0.334
Au  0.500  0.334  0.664
Er  0.000  0.404  0.404
Cu  0.000  0.001  0.001

---

Record 8
Computed, not measured: a relaxed PrGdOs crystal at the PBE level of DFT.

Calculated values
E, eV per atom: -6.072
Formation energy from the elements, eV/atom: 0.813

Cell: 4.803 4.803 4.803 Å, 60.00 60.00 60.00°
Fractional coordinates of all 3 atoms:
Pr  0.000  0.000  0.000
Gd  0.250  0.250  0.250
Os  0.750  0.750  0.750

---

Record 9
Computed, not measured: a relaxed Zr2Br3Cl3 crystal at the PBE level of DFT.

Calculated values
E, eV per atom: -5.006

Cell: 6.905 6.905 6.169 Å, 90.00 90.00 120.00°
Fractional coordinates of all 8 atoms:
Cl  0.700  0.700  0.500
Cl  0.000  0.300  0.500
Cl  0.300  0.000  0.500
Br  0.000  0.680  0.000
Br  0.320  0.320  0.000
Br  0.680  0.000  0.000
Zr  0.000  0.000  0.744
Zr  0.000  0.000  0.256

---

Record 10
Computed, not measured: a relaxed YGa2Tc crystal at the PBE level of DFT.

Calculated values
E, eV per atom: -5.670

Cell: 4.680 4.680 4.680 Å, 60.00 60.00 60.00°
Fractional coordinates of all 4 atoms:
Ga  0.750  0.750  0.750
Ga  0.000  0.000  0.000
Tc  0.250  0.250  0.250
Y  0.500  0.500  0.500

---

Record 11
Computed, not measured: a relaxed GaRe2Os crystal at the PBE level of DFT.

Calculated values
E, eV per atom: -9.535

Cell: 4.359 4.359 4.359 Å, 60.00 60.00 60.00°
Fractional coordinates of all 4 atoms:
Re  0.750  0.750  0.750
Re  0.000  0.000  0.000
Ga  0.500  0.500  0.500
Os  0.250  0.250  0.250

---

Record 12
Computed, not measured: a relaxed KTl2Ag2 crystal at the PBE level of DFT.

Calculated values
E, eV per atom: -2.286

Cell: 5.106 5.106 6.833 Å, 111.94 111.94 90.00°
Fractional coordinates of all 5 atoms:
Ag  0.250  0.750  0.500
Ag  0.750  0.250  0.500
Tl  0.364  0.364  0.729
Tl  0.636  0.636  0.271
K  0.000  0.000  0.000

---

Record 13
Computed, not measured: a relaxed Sc3Ag crystal at the PBE level of DFT.

Calculated values
E, eV per atom: -5.496
Formation energy from the elements, eV/atom: -0.044

Cell: 4.946 6.292 5.557 Å, 90.00 90.00 90.00°
Fractional coordinates of all 8 atoms:
Sc  0.000  0.745  0.159
Sc  0.000  0.255  0.159
Sc  0.000  0.500  0.635
Sc  0.500  0.245  0.841
Sc  0.500  0.755  0.841
Sc  0.500  0.000  0.365
Ag  0.000  0.000  0.669
Ag  0.500  0.500  0.331

---

Record 14
Computed, not measured: a relaxed Sm3Mg3Ga2Hg crystal at the PBE level of DFT.

Calculated values
E, eV per atom: -3.289

Cell: 7.485 7.485 4.499 Å, 90.00 90.00 120.00°
Fractional coordinates of all 9 atoms:
Hg  0.000  0.000  0.000
Mg  0.248  0.000  0.500
Mg  0.752  0.752  0.500
Mg  0.000  0.248  0.500
Sm  0.424  0.424  0.000
Sm  0.576  0.000  0.000
Sm  0.000  0.576  0.000
Ga  0.333  0.667  0.500
Ga  0.667  0.333  0.500

---

Record 15
Computed, not measured: a relaxed Ho4TlSnC2 crystal at the PBE level of DFT.

Calculated values
E, eV per atom: -5.863

Cell: 3.595 3.595 16.018 Å, 90.00 90.00 120.00°
Fractional coordinates of all 8 atoms:
Ho  0.333  0.667  0.668
Ho  0.333  0.667  0.332
Ho  0.000  0.000  0.164
Ho  0.000  0.000  0.836
C  0.667  0.333  0.753
C  0.667  0.333  0.247
Sn  0.333  0.667  0.000
Tl  0.000  0.000  0.500

---

Record 16
Computed, not measured: a relaxed GdHoGa2Pt4 crystal at the PBE level of DFT.

Calculated values
E, eV per atom: -5.999

Cell: 4.391 4.391 9.128 Å, 90.00 90.00 120.00°
Fractional coordinates of all 8 atoms:
Gd  0.000  0.000  0.000
Pt  0.333  0.667  0.169
Pt  0.333  0.667  0.831
Pt  0.000  0.000  0.337
Pt  0.000  0.000  0.663
Ho  0.333  0.667  0.500
Ga  0.667  0.333  0.749
Ga  0.667  0.333  0.251

---

Record 17
Computed, not measured: a relaxed AcNpMo crystal at the PBE level of DFT.

Calculated values
Offset from the most stable computed form, meV per atom: 0
E, eV per atom: -8.278
Formation energy from the elements, eV/atom: 0.963

Cell: 4.946 4.946 4.946 Å, 60.00 60.00 60.00°
Fractional coordinates of all 3 atoms:
Ac  0.250  0.250  0.250
Mo  0.000  0.000  0.000
Np  0.750  0.750  0.750

---

Record 18
Computed, not measured: a relaxed PmNbPO crystal at the PBE level of DFT.

Calculated values
Offset from the most stable computed form, meV per atom: 0
E, eV per atom: -8.243

Cell: 3.997 3.997 8.956 Å, 90.00 90.00 90.00°
Fractional coordinates of all 8 atoms:
Nb  0.250  0.750  0.500
Nb  0.750  0.250  0.500
P  0.250  0.250  0.682
P  0.750  0.750  0.318
Pm  0.250  0.250  0.131
Pm  0.750  0.750  0.869
O  0.750  0.250  0.000
O  0.250  0.750  0.000

---

Record 19
Computed, not measured: a relaxed MgNbSbMo crystal at the PBE level of DFT.

Calculated values
Offset from the most stable computed form, meV per atom: 0
E, eV per atom: -6.547

Cell: 4.658 4.658 4.658 Å, 60.00 60.00 60.00°
Fractional coordinates of all 4 atoms:
Mg  0.750  0.750  0.750
Mo  0.250  0.250  0.250
Sb  0.000  0.000  0.000
Nb  0.500  0.500  0.500

---

Record 20
Computed, not measured: a relaxed Ta4CuGeN2 crystal at the PBE level of DFT.

Calculated values
E, eV per atom: -9.504

Cell: 3.184 3.184 12.629 Å, 90.00 90.00 120.00°
Fractional coordinates of all 8 atoms:
Ta  0.000  0.000  0.657
Ta  0.667  0.333  0.160
Ta  0.000  0.000  0.343
Ta  0.667  0.333  0.840
N  0.333  0.667  0.249
N  0.333  0.667  0.751
Ge  0.667  0.333  0.500
Cu  0.000  0.000  0.000